K3NaOs | GGA-PBE | optimized geometry

```
K3NaOs
1.0
6.3481 0.0000 0.0000
0.0000 6.3481 0.0000
0.0000 0.0000 6.3481
K Na Os
3 1 1
Cartesian
0.0000 3.1741 0.0000 K
3.1741 0.0000 0.0000 K
0.0000 0.0000 3.1741 K
3.1741 3.1741 3.1741 Na
0.0000 0.0000 0.0000 Os
```

Computed properties:
As for the calculated total energy: -0.077 hartree per atom. The magnetic moment comes out at 2.01 μB per cell.